1.
{
  "formula": "NiGe3Cl",
  "functional": "PBE-GGA",
  "state": "relaxed",
  "raw_formation_energy_ev_per_atom": 1.11,
  "magnetic_moment_mub_per_cell": 0.0,
  "de_polymorph_ev_per_atom": 0.997,
  "density_g_cm3": 4.5,
  "space_group": "Pm-3m (221)",
  "e_tot_ev_per_atom": -3.188,
  "cell": [[-1.801, -1.763, 4.168], [2.058, -4.314, -0.935], [4.030, 1.416, 2.340]],
  "species": ["Ni", "Ge", "Ge", "Ge", "Cl"],
  "frac_coords": [[0.500, 0.500, 0.500], [0.000, 0.500, 0.000], [0.000, 0.000, 0.500], [0.500, 0.000, 0.000], [0.000, 0.000, 0.000]]
}

---

2.
{
  "formula": "NiGe3Cl",
  "functional": "PBE-GGA",
  "state": "relaxed",
  "raw_formation_energy_ev_per_atom": 0.11,
  "magnetic_moment_mub_per_cell": 0.0,
  "de_polymorph_ev_per_atom": 0.000,
  "density_g_cm3": 5.1,
  "space_group": "Pm-3m (221)",
  "e_tot_ev_per_atom": -4.185,
  "cell": [[-0.964, 3.372, -3.079], [-4.107, -2.016, -0.922], [-1.996, 2.519, 3.383]],
  "species": ["Ni", "Ge", "Ge", "Ge", "Cl"],
  "frac_coords": [[0.000, 0.000, 0.000], [0.000, 0.500, 0.000], [0.000, 0.000, 0.500], [0.500, 0.000, 0.000], [0.500, 0.500, 0.500]]
}

---

3.
{
  "formula": "NiGe2Cl8",
  "functional": "PBE-GGA",
  "state": "relaxed",
  "raw_formation_energy_ev_per_atom": -0.63,
  "magnetic_moment_mub_per_cell": 0.8,
  "density_g_cm3": 2.2,
  "space_group": "C2/m (12)",
  "e_tot_ev_per_atom": -3.342,
  "cell": [[-2.660, 2.696, 5.384], [-3.071, -6.676, 1.958], [4.912, -3.746, 4.435]],
  "species": ["Ni", "Ge", "Ge", "Cl", "Cl", "Cl", "Cl", "Cl", "Cl", "Cl", "Cl"],
  "frac_coords": [[0.000, 0.000, 0.000], [0.351, 0.185, 0.185], [0.649, 0.815, 0.815], [0.853, 0.074, 0.702], [0.147, 0.298, 0.926], [0.684, 0.118, 0.118], [0.316, 0.882, 0.882], [0.853, 0.702, 0.074], [0.147, 0.926, 0.298], [0.309, 0.363, 0.363], [0.691, 0.637, 0.637]]
}

---

4.
{
  "formula": "NiGePCl2",
  "functional": "PBE-GGA",
  "state": "relaxed",
  "raw_formation_energy_ev_per_atom": 0.19,
  "magnetic_moment_mub_per_cell": 0.0,
  "de_polymorph_ev_per_atom": 0.000,
  "density_g_cm3": 4.0,
  "space_group": "P4/mmm (123)",
  "e_tot_ev_per_atom": -3.713,
  "cell": [[4.504, 0.000, 0.000], [0.000, 4.504, 0.000], [0.000, 0.000, 4.747]],
  "species": ["Ni", "Ge", "P", "Cl", "Cl"],
  "frac_coords": [[0.000, 0.000, 0.000], [0.500, 0.500, 0.500], [0.000, 0.000, 0.500], [0.000, 0.500, 0.000], [0.500, 0.000, 0.000]]
}

---

5.
{
  "formula": "Ni2GePdCl",
  "functional": "PBE-GGA",
  "state": "relaxed",
  "raw_formation_energy_ev_per_atom": 0.95,
  "magnetic_moment_mub_per_cell": 0.7,
  "density_g_cm3": 5.4,
  "space_group": "P4/mmm (123)",
  "e_tot_ev_per_atom": -3.690,
  "cell": [[-1.532, -2.997, 3.317], [1.632, -3.483, -2.394], [4.134, 0.385, 2.257]],
  "species": ["Ni", "Ni", "Ge", "Pd", "Cl"],
  "frac_coords": [[0.000, 0.000, 0.500], [0.500, 0.000, 0.000], [0.500, 0.500, 0.500], [0.000, 0.000, 0.000], [0.000, 0.500, 0.000]]
}

---

6.
{
  "formula": "Pm6Ni2GeCl3",
  "functional": "PBE-GGA",
  "state": "relaxed",
  "raw_formation_energy_ev_per_atom": -1.00,
  "magnetic_moment_mub_per_cell": 0.0,
  "density_g_cm3": 6.2,
  "space_group": "C2/m (12)",
  "e_tot_ev_per_atom": -5.183,
  "cell": [[-2.482, 2.852, -1.480], [-4.675, -6.104, -3.922], [-2.446, -0.279, 9.133]],
  "species": ["Pm", "Pm", "Pm", "Pm", "Pm", "Pm", "Ni", "Ni", "Ge", "Cl", "Cl", "Cl"],
  "frac_coords": [[0.335, 0.877, 0.670], [0.672, 0.567, 0.345], [0.665, 0.123, 0.330], [0.012, 0.245, 0.024], [0.988, 0.755, 0.976], [0.328, 0.433, 0.655], [0.829, 0.652, 0.659], [0.171, 0.348, 0.341], [0.500, 0.000, 0.000], [0.500, 0.500, 0.000], [0.839, 0.158, 0.677], [0.161, 0.842, 0.323]]
}

---

7.
{
  "formula": "Re2NiGeCl",
  "functional": "PBE-GGA",
  "state": "relaxed",
  "raw_formation_energy_ev_per_atom": 1.73,
  "magnetic_moment_mub_per_cell": 4.5,
  "density_g_cm3": 9.7,
  "space_group": "P4/mmm (123)",
  "e_tot_ev_per_atom": -5.703,
  "cell": [[4.705, 0.000, 0.000], [0.000, 4.184, 0.000], [0.000, 0.000, 4.705]],
  "species": ["Re", "Re", "Ge", "Cl", "Ni"],
  "frac_coords": [[0.000, 0.000, 0.500], [0.500, 0.000, 0.000], [0.500, 0.500, 0.500], [0.000, 0.500, 0.000], [0.000, 0.000, 0.000]]
}

---

8.
{
  "formula": "NiGeS2Cl",
  "functional": "PBE-GGA",
  "state": "relaxed",
  "raw_formation_energy_ev_per_atom": 0.13,
  "magnetic_moment_mub_per_cell": 0.0,
  "de_polymorph_ev_per_atom": 0.000,
  "density_g_cm3": 4.1,
  "space_group": "P4/mmm (123)",
  "e_tot_ev_per_atom": -3.968,
  "cell": [[-2.275, -2.651, 2.843], [1.512, -3.639, -2.183], [3.638, -0.151, 2.771]],
  "species": ["Ni", "Ge", "S", "S", "Cl"],
  "frac_coords": [[0.000, 0.000, 0.000], [0.500, 0.500, 0.500], [0.000, 0.500, 0.000], [0.500, 0.000, 0.000], [0.000, 0.000, 0.500]]
}

---

9.
{
  "formula": "NiGeSCl2",
  "functional": "PBE-GGA",
  "state": "relaxed",
  "raw_formation_energy_ev_per_atom": -0.06,
  "magnetic_moment_mub_per_cell": 0.0,
  "de_polymorph_ev_per_atom": 0.000,
  "density_g_cm3": 4.0,
  "space_group": "P4/mmm (123)",
  "e_tot_ev_per_atom": -3.709,
  "cell": [[4.500, 0.000, 0.000], [0.000, 4.500, 0.000], [0.000, 0.000, 4.747]],
  "species": ["Ni", "Ge", "S", "Cl", "Cl"],
  "frac_coords": [[0.000, 0.000, 0.000], [0.500, 0.500, 0.500], [0.000, 0.000, 0.500], [0.000, 0.500, 0.000], [0.500, 0.000, 0.000]]
}

---

10.
{
  "formula": "Tc2NiGeCl",
  "functional": "PBE-GGA",
  "state": "relaxed",
  "raw_formation_energy_ev_per_atom": 1.21,
  "magnetic_moment_mub_per_cell": 6.7,
  "density_g_cm3": 6.0,
  "space_group": "P4/mmm (123)",
  "e_tot_ev_per_atom": -5.388,
  "cell": [[4.803, 0.000, 0.000], [0.000, 4.334, 0.000], [0.000, 0.000, 4.803]],
  "species": ["Ni", "Ge", "Tc", "Tc", "Cl"],
  "frac_coords": [[0.000, 0.000, 0.000], [0.000, 0.500, 0.000], [0.000, 0.000, 0.500], [0.500, 0.000, 0.000], [0.500, 0.500, 0.500]]
}

---

11.
{
  "formula": "TcNiGeCl2",
  "functional": "PBE-GGA",
  "state": "relaxed",
  "raw_formation_energy_ev_per_atom": 0.64,
  "magnetic_moment_mub_per_cell": 4.1,
  "density_g_cm3": 4.9,
  "space_group": "P4/mmm (123)",
  "e_tot_ev_per_atom": -4.253,
  "cell": [[4.385, 0.000, 0.000], [0.000, 5.316, 0.000], [0.000, 0.000, 4.385]],
  "species": ["Ni", "Ge", "Tc", "Cl", "Cl"],
  "frac_coords": [[0.000, 0.000, 0.000], [0.000, 0.500, 0.000], [0.500, 0.500, 0.500], [0.000, 0.000, 0.500], [0.500, 0.000, 0.000]]
}

---

12.
{
  "formula": "NpGe2Cl8",
  "functional": "PBE-GGA",
  "state": "relaxed",
  "raw_formation_energy_ev_per_atom": -1.15,
  "magnetic_moment_mub_per_cell": 3.0,
  "de_polymorph_ev_per_atom": 0.000,
  "density_g_cm3": 2.9,
  "space_group": "C2/m (12)",
  "e_tot_ev_per_atom": -4.513,
  "cell": [[-3.247, -4.007, -4.898], [-0.999, -3.998, 6.341], [-5.689, 4.113, 2.813]],
  "species": ["Np", "Ge", "Ge", "Cl", "Cl", "Cl", "Cl", "Cl", "Cl", "Cl", "Cl"],
  "frac_coords": [[0.000, 0.000, 0.000], [0.576, 0.694, 0.694], [0.424, 0.306, 0.306], [0.231, 0.333, 0.986], [0.769, 0.014, 0.667], [0.239, 0.874, 0.874], [0.761, 0.126, 0.126], [0.231, 0.986, 0.333], [0.769, 0.667, 0.014], [0.771, 0.569, 0.569], [0.229, 0.431, 0.431]]
}